A plane-wave DFT calculation with GGA-PBE was carried out for crystalline Ga3Cu at its relaxed geometry.

a b c (Å): 2.8184 7.8315 6.0441
angles (deg): 90.00 90.00 90.00
Closest atoms and distances in Å follow each position.
Space group Imm2 (No. 44)
Asymmetric unit:
Ga 0.0000 0.0000 0.0000 [2 per cell]  2 Cu 2.54, 4 Ga 2.70-2.82
Ga 0.0000 0.1882 0.6259 [4 per cell]  3 Cu 2.64-2.79, 6 Ga 2.70-2.95
Cu 0.0000 0.5000 0.8495 [2 per cell]  8 Ga 2.54-2.79, 2 Cu 2.82

Properties
- magnetic moment (μB per cell) = 0.0
- raw total energy (eV/atom) = -3.31
- energy of formation from the pure elements (eV per atom) = -0.016